No. 1
Entry from Alexandria: a relaxed structure of Hf2TaBOs (PBE).

Its energy above the lowest structure with this stoichiometry is 0 meV per atom. As for the crystal system: tetragonal. As for the final energy: -45.62 eV per formula unit. The calculation puts the density of states at the Fermi level at 4.20 states/eV/f.u.

a = 5.0603 Å, b = 3.9677 Å, c = 5.0603 Å
α = 90.00°, β = 90.00°, γ = 90.00°
Fractional positions:
B  0.0000  0.5000  0.0000
Hf  0.0000  0.0000  0.5000
Hf  0.5000  0.0000  0.0000
Ta  0.5000  0.5000  0.5000
Os  0.0000  0.0000  0.0000

No. 2
Entry from Alexandria: a relaxed structure of TbPr2Nd3Dy6 (PBE).

As for the crystal system: monoclinic. As for the final energy: -55.95 eV per formula unit. The calculation puts the density of states at the Fermi level at 14.07 states/eV/f.u.

a = 6.2592 Å, b = 6.2592 Å, c = 11.8758 Å
α = 95.02°, β = 95.02°, γ = 119.99°
Fractional positions:
Nd  0.1667  0.8333  0.5000
Nd  0.8333  0.1667  0.5000
Nd  0.5000  0.5000  0.5000
Dy  0.5840  0.9167  0.7503
Dy  0.0833  0.4160  0.2497
Dy  0.4160  0.0833  0.2497
Dy  0.7508  0.7508  0.2498
Dy  0.2492  0.2492  0.7502
Dy  0.9167  0.5840  0.7503
Tb  0.0000  0.0000  0.0000
Pr  0.3334  0.6666  0.0000
Pr  0.6666  0.3334  0.0000

No. 3
Entry from Alexandria: a relaxed structure of Tb8Ga2Au (PBE).

As for the crystal system: monoclinic. As for the final energy: -50.17 eV per formula unit. The calculation puts the density of states at the Fermi level at 11.94 states/eV/f.u.

a = 5.0011 Å, b = 6.6768 Å, c = 9.6405 Å
α = 101.48°, β = 105.03°, γ = 90.00°
Fractional positions:
Tb  0.5923  0.4633  0.1846
Tb  0.7917  0.6810  0.5834
Tb  0.2083  0.3190  0.4166
Tb  0.4077  0.5367  0.8154
Tb  0.3421  0.0217  0.6842
Tb  0.6579  0.9783  0.3158
Tb  0.9751  0.2293  0.9501
Tb  0.0249  0.7707  0.0499
Ga  0.1883  0.7569  0.3766
Ga  0.8117  0.2431  0.6234
Au  0.5000  0.0000  0.0000